# Hf2BeNi3 (PBE-GGA, relaxed)
data_Hf2BeNi3
_chemical_formula_sum 'Hf4 Be2 Ni6'
_space_group_name_H-M_alt 'P 1'
_space_group_IT_number 1
_cell_length_a 4.923
_cell_length_b 4.923
_cell_length_c 7.684
_cell_angle_alpha 90.00
_cell_angle_beta 90.00
_cell_angle_gamma 120.00
loop_
_space_group_symop_operation_xyz
'x,y,z'
loop_
_atom_site_label
_atom_site_fract_x
_atom_site_fract_y
_atom_site_fract_z
_atom_site_occupancy
Hf1 0.667 0.333 0.444 1
Hf2 0.333 0.667 0.556 1
Hf3 0.333 0.667 0.944 1
Hf4 0.667 0.333 0.056 1
Be1 0.000 0.000 0.500 1
Be2 0.000 0.000 0.000 1
Ni1 0.166 0.331 0.250 1
Ni2 0.331 0.166 0.750 1
Ni3 0.834 0.669 0.750 1
Ni4 0.166 0.834 0.250 1
Ni5 0.834 0.166 0.750 1
Ni6 0.669 0.834 0.250 1
# Calculated volume   13.44 Å³ per atom
# Total moment   0.00 μB/atom
# Formation enthalpy at 0 K   -445 meV per atom
# Energy   -0.267 Ha/atom

=====

# Hf2Be12Ni5 (PBE-GGA, relaxed)
data_Hf2Be12Ni5
_chemical_formula_sum 'Hf2 Be12 Ni5'
_space_group_name_H-M_alt 'P 1'
_space_group_IT_number 1
_cell_length_a 5.823
_cell_length_b 5.823
_cell_length_c 5.823
_cell_angle_alpha 83.40
_cell_angle_beta 83.40
_cell_angle_gamma 83.40
loop_
_space_group_symop_operation_xyz
'x,y,z'
loop_
_atom_site_label
_atom_site_fract_x
_atom_site_fract_y
_atom_site_fract_z
_atom_site_occupancy
Hf1 0.661 0.661 0.661 1
Hf2 0.339 0.339 0.339 1
Be1 0.287 0.713 0.000 1
Be2 0.713 0.000 0.287 1
Be3 0.000 0.287 0.713 1
Be4 0.713 0.287 0.000 1
Be5 0.287 0.000 0.713 1
Be6 0.000 0.713 0.287 1
Be7 0.343 0.343 0.843 1
Be8 0.343 0.843 0.343 1
Be9 0.843 0.343 0.343 1
Be10 0.657 0.157 0.657 1
Be11 0.657 0.657 0.157 1
Be12 0.157 0.657 0.657 1
Ni1 0.000 0.000 0.500 1
Ni2 0.000 0.500 0.000 1
Ni3 0.500 0.000 0.000 1
Ni4 0.899 0.899 0.899 1
Ni5 0.101 0.101 0.101 1
# Calculated volume   10.20 Å³ per atom
# Total moment   0.00 μB/atom
# Formation enthalpy at 0 K   -306 meV per atom
# Energy   -0.192 Ha/atom

=====

# HfBe2Ni (PBE-GGA, relaxed)
data_HfBe2Ni
_chemical_formula_sum 'Hf3 Be6 Ni3'
_space_group_name_H-M_alt 'P 1'
_space_group_IT_number 1
_cell_length_a 4.747
_cell_length_b 4.747
_cell_length_c 7.880
_cell_angle_alpha 72.47
_cell_angle_beta 72.47
_cell_angle_gamma 60.00
loop_
_space_group_symop_operation_xyz
'x,y,z'
loop_
_atom_site_label
_atom_site_fract_x
_atom_site_fract_y
_atom_site_fract_z
_atom_site_occupancy
Hf1 0.856 0.856 0.432 1
Hf2 0.144 0.144 0.568 1
Hf3 0.000 0.000 0.000 1
Be1 0.424 0.424 0.243 1
Be2 0.909 0.424 0.243 1
Be3 0.424 0.909 0.243 1
Be4 0.576 0.576 0.757 1
Be5 0.576 0.091 0.757 1
Be6 0.091 0.576 0.757 1
Ni1 0.668 0.668 0.995 1
Ni2 0.332 0.332 0.005 1
Ni3 0.500 0.500 0.500 1
# Calculated volume   12.01 Å³ per atom
# Total moment   0.07 μB/atom
# Formation enthalpy at 0 K   -323 meV per atom
# Energy   -0.225 Ha/atom

=====

# Hf2BeNi2 (PBE-GGA, relaxed)
data_Hf2BeNi2
_chemical_formula_sum 'Hf2 Be1 Ni2'
_space_group_name_H-M_alt 'P 1'
_space_group_IT_number 1
_cell_length_a 3.250
_cell_length_b 3.250
_cell_length_c 7.806
_cell_angle_alpha 77.98
_cell_angle_beta 77.98
_cell_angle_gamma 90.00
loop_
_space_group_symop_operation_xyz
'x,y,z'
loop_
_atom_site_label
_atom_site_fract_x
_atom_site_fract_y
_atom_site_fract_z
_atom_site_occupancy
Ni1 0.750 0.250 0.500 1
Ni2 0.250 0.750 0.500 1
Hf1 0.392 0.392 0.215 1
Hf2 0.608 0.608 0.785 1
Be1 0.000 0.000 0.000 1
# Calculated volume   15.76 Å³ per atom
# Total moment   0.00 μB/atom
# Formation enthalpy at 0 K   30 meV per atom
# Energy   -0.258 Ha/atom

=====

# Hf2BeNi2 (PBE-GGA, relaxed)
data_Hf2BeNi2
_chemical_formula_sum 'Hf4 Be2 Ni4'
_space_group_name_H-M_alt 'P 1'
_space_group_IT_number 1
_cell_length_a 6.703
_cell_length_b 6.703
_cell_length_c 3.392
_cell_angle_alpha 90.00
_cell_angle_beta 90.00
_cell_angle_gamma 90.00
loop_
_space_group_symop_operation_xyz
'x,y,z'
loop_
_atom_site_label
_atom_site_fract_x
_atom_site_fract_y
_atom_site_fract_z
_atom_site_occupancy
Ni1 0.371 0.871 0.000 1
Ni2 0.871 0.629 0.000 1
Ni3 0.629 0.129 0.000 1
Ni4 0.129 0.371 0.000 1
Hf1 0.175 0.675 0.500 1
Hf2 0.675 0.825 0.500 1
Hf3 0.825 0.325 0.500 1
Hf4 0.325 0.175 0.500 1
Be1 0.000 0.000 0.000 1
Be2 0.500 0.500 0.000 1
# Calculated volume   15.24 Å³ per atom
# Total moment   0.00 μB/atom
# Formation enthalpy at 0 K   -310 meV per atom
# Energy   -0.270 Ha/atom

=====

# HfBe6Ni2 (PBE-GGA, relaxed)
data_HfBe6Ni2
_chemical_formula_sum 'Hf1 Be6 Ni2'
_space_group_name_H-M_alt 'P 1'
_space_group_IT_number 1
_cell_length_a 3.210
_cell_length_b 6.130
_cell_length_c 6.130
_cell_angle_alpha 55.35
_cell_angle_beta 74.82
_cell_angle_gamma 74.82
loop_
_space_group_symop_operation_xyz
'x,y,z'
loop_
_atom_site_label
_atom_site_fract_x
_atom_site_fract_y
_atom_site_fract_z
_atom_site_occupancy
Hf1 0.000 0.000 0.000 1
Be1 0.686 0.020 0.607 1
Be2 0.314 0.980 0.393 1
Be3 0.314 0.393 0.980 1
Be4 0.500 0.667 0.333 1
Be5 0.500 0.333 0.667 1
Be6 0.686 0.607 0.020 1
Ni1 0.875 0.625 0.625 1
Ni2 0.125 0.375 0.375 1
# Calculated volume   10.53 Å³ per atom
# Total moment   0.00 μB/atom
# Formation enthalpy at 0 K   -119 meV per atom
# Energy   -0.184 Ha/atom

=====

# Hf2Be15Ni2 (PBE-GGA, relaxed)
data_Hf2Be15Ni2
_chemical_formula_sum 'Hf2 Be15 Ni2'
_space_group_name_H-M_alt 'P 1'
_space_group_IT_number 1
_cell_length_a 5.707
_cell_length_b 5.707
_cell_length_c 5.707
_cell_angle_alpha 82.86
_cell_angle_beta 82.86
_cell_angle_gamma 82.86
loop_
_space_group_symop_operation_xyz
'x,y,z'
loop_
_atom_site_label
_atom_site_fract_x
_atom_site_fract_y
_atom_site_fract_z
_atom_site_occupancy
Hf1 0.343 0.343 0.343 1
Hf2 0.657 0.657 0.657 1
Be1 0.500 0.000 0.000 1
Be2 0.000 0.000 0.500 1
Be3 0.000 0.500 0.000 1
Be4 0.000 0.717 0.283 1
Be5 0.717 0.283 0.000 1
Be6 0.283 0.000 0.717 1
Be7 0.283 0.717 0.000 1
Be8 0.717 0.000 0.283 1
Be9 0.000 0.283 0.717 1
Be10 0.158 0.658 0.658 1
Be11 0.658 0.658 0.158 1
Be12 0.658 0.158 0.658 1
Be13 0.842 0.342 0.342 1
Be14 0.342 0.342 0.842 1
Be15 0.342 0.842 0.342 1
Ni1 0.106 0.106 0.106 1
Ni2 0.894 0.894 0.894 1
# Calculated volume   9.57 Å³ per atom
# Total moment   0.00 μB/atom
# Formation enthalpy at 0 K   -294 meV per atom
# Energy   -0.180 Ha/atom

=====

# Hf2Be3Ni (PBE-GGA, relaxed)
data_Hf2Be3Ni
_chemical_formula_sum 'Hf4 Be6 Ni2'
_space_group_name_H-M_alt 'P 1'
_space_group_IT_number 1
_cell_length_a 4.972
_cell_length_b 4.972
_cell_length_c 7.392
_cell_angle_alpha 105.45
_cell_angle_beta 105.45
_cell_angle_gamma 102.00
loop_
_space_group_symop_operation_xyz
'x,y,z'
loop_
_atom_site_label
_atom_site_fract_x
_atom_site_fract_y
_atom_site_fract_z
_atom_site_occupancy
Hf1 0.250 0.750 0.500 1
Hf2 0.744 0.744 0.000 1
Hf3 0.750 0.250 0.500 1
Hf4 0.256 0.256 0.000 1
Be1 0.674 0.163 0.837 1
Be2 0.837 0.326 0.163 1
Be3 0.326 0.837 0.163 1
Be4 0.163 0.674 0.837 1
Be5 0.836 0.836 0.673 1
Be6 0.164 0.164 0.327 1
Ni1 0.334 0.334 0.669 1
Ni2 0.666 0.666 0.331 1
# Calculated volume   13.50 Å³ per atom
# Total moment   0.00 μB/atom
# Formation enthalpy at 0 K   -240 meV per atom
# Energy   -0.235 Ha/atom

=====

# HfBe2Ni (PBE-GGA, relaxed)
data_HfBe2Ni
_chemical_formula_sum 'Hf1 Be2 Ni1'
_space_group_name_H-M_alt 'P 1'
_space_group_IT_number 1
_cell_length_a 4.060
_cell_length_b 4.060
_cell_length_c 4.060
_cell_angle_alpha 60.00
_cell_angle_beta 60.00
_cell_angle_gamma 60.00
loop_
_space_group_symop_operation_xyz
'x,y,z'
loop_
_atom_site_label
_atom_site_fract_x
_atom_site_fract_y
_atom_site_fract_z
_atom_site_occupancy
Ni1 0.000 0.000 0.000 1
Hf1 0.500 0.500 0.500 1
Be1 0.250 0.250 0.250 1
Be2 0.750 0.750 0.750 1
# Calculated volume   11.83 Å³ per atom
# Total moment   0.00 μB/atom
# Formation enthalpy at 0 K   -201 meV per atom
# Energy   -0.220 Ha/atom

=====

# Hf4BeNi3 (PBE-GGA, relaxed)
data_Hf4BeNi3
_chemical_formula_sum 'Hf4 Be1 Ni3'
_space_group_name_H-M_alt 'P 1'
_space_group_IT_number 1
_cell_length_a 3.259
_cell_length_b 4.017
_cell_length_c 9.861
_cell_angle_alpha 90.00
_cell_angle_beta 90.00
_cell_angle_gamma 90.00
loop_
_space_group_symop_operation_xyz
'x,y,z'
loop_
_atom_site_label
_atom_site_fract_x
_atom_site_fract_y
_atom_site_fract_z
_atom_site_occupancy
Be1 0.500 0.500 0.074 1
Hf1 0.500 0.500 0.356 1
Hf2 0.000 0.500 0.858 1
Hf3 0.000 0.000 0.144 1
Hf4 0.500 0.000 0.639 1
Ni1 0.000 0.500 0.584 1
Ni2 0.000 0.000 0.418 1
Ni3 0.500 0.000 0.926 1
# Calculated volume   16.14 Å³ per atom
# Total moment   0.00 μB/atom
# Formation enthalpy at 0 K   -393 meV per atom
# Energy   -0.294 Ha/atom

=====

# HfBeNi (PBE-GGA, relaxed)
data_HfBeNi
_chemical_formula_sum 'Hf2 Be2 Ni2'
_space_group_name_H-M_alt 'P 1'
_space_group_IT_number 1
_cell_length_a 3.331
_cell_length_b 4.307
_cell_length_c 5.922
_cell_angle_alpha 90.00
_cell_angle_beta 106.33
_cell_angle_gamma 90.00
loop_
_space_group_symop_operation_xyz
'x,y,z'
loop_
_atom_site_label
_atom_site_fract_x
_atom_site_fract_y
_atom_site_fract_z
_atom_site_occupancy
Hf1 0.909 0.250 0.818 1
Hf2 0.091 0.750 0.182 1
Be1 0.605 0.250 0.210 1
Be2 0.395 0.750 0.790 1
Ni1 0.232 0.250 0.464 1
Ni2 0.768 0.750 0.536 1
# Calculated volume   13.59 Å³ per atom
# Total moment   0.00 μB/atom
# Formation enthalpy at 0 K   -257 meV per atom
# Energy   -0.248 Ha/atom

=====

# Hf2BeNi9 (PBE-GGA, relaxed)
data_Hf2BeNi9
_chemical_formula_sum 'Hf2 Be1 Ni9'
_space_group_name_H-M_alt 'P 1'
_space_group_IT_number 1
_cell_length_a 3.681
_cell_length_b 3.681
_cell_length_c 10.626
_cell_angle_alpha 90.00
_cell_angle_beta 90.00
_cell_angle_gamma 90.00
loop_
_space_group_symop_operation_xyz
'x,y,z'
loop_
_atom_site_label
_atom_site_fract_x
_atom_site_fract_y
_atom_site_fract_z
_atom_site_occupancy
Hf1 0.000 0.000 0.321 1
Hf2 0.000 0.000 0.679 1
Be1 0.000 0.000 0.000 1
Ni1 0.500 0.500 0.000 1
Ni2 0.500 0.500 0.325 1
Ni3 0.500 0.500 0.675 1
Ni4 0.500 0.000 0.144 1
Ni5 0.500 0.000 0.500 1
Ni6 0.500 0.000 0.856 1
Ni7 0.000 0.500 0.144 1
Ni8 0.000 0.500 0.500 1
Ni9 0.000 0.500 0.856 1
# Calculated volume   12.00 Å³ per atom
# Total moment   0.09 μB/atom
# Formation enthalpy at 0 K   -395 meV per atom
# Energy   -0.246 Ha/atom